This record from Alexandria via LeMat-Bulk describes a relaxed MnNi6Mo crystal. The functional is PBE-GGA.

```
32
Lattice="-2.1196 -5.5890 -1.8193 -0.5397 0.4984 6.2048 -9.3521 3.9138 -1.1278" Properties=species:S:1:pos:R:3 pbc="T T T"
Mo -1.3937 -2.5185 2.1850
Mo -8.7356 -1.1201 -0.6437
Mo -5.9416 -0.6152 1.6366
Mo -7.9517 1.9003 3.3376
Mn -4.6402 1.9419 -0.5596
Mn -4.0629 -3.0899 -0.0968
Mn -3.2723 -0.0437 3.9184
Mn -0.0359 0.0150 -0.0043
Ni -9.0401 1.3828 -0.8899
Ni -9.9699 0.3693 3.3037
Ni -2.3380 0.9784 -0.2819
Ni -11.0562 -0.1581 -0.9342
Ni -3.6676 -1.5668 1.9108
Ni -1.6332 -0.0353 1.9631
Ni -8.3437 0.3901 1.3469
Ni -6.4193 -2.0986 -0.3750
Ni -10.2680 2.8787 3.0688
Ni -4.3804 -0.5682 -0.3213
Ni -6.3220 1.9342 1.3982
Ni -5.6312 0.9383 3.6280
Ni -2.9549 -2.5654 4.1429
Ni -7.6473 -0.6027 3.5838
Ni -7.0141 2.9353 -0.8458
Ni -8.0427 -2.1261 1.5757
Ni -10.3653 -1.1541 1.2956
Ni -3.9864 0.9496 1.6794
Ni -8.6447 2.9062 1.1182
Ni -2.0271 -1.5530 -0.0375
Ni -6.7174 0.4108 -0.6098
Ni -5.3082 -1.5806 3.8591
Ni -3.3488 -4.0832 2.1423
Ni -5.7021 -3.0984 1.8585
```

## Properties
ρ: 8.89 g/cm³
DFT formation energy: -0.56 eV/f.u.
relative energy among the computed polymorphs: 10 meV/atom